No. 1
DFT (meta-GGA SCAN) results for a crystal of Ca2MgRe relaxed with PBEsol.

Values from the calculation:
**D(E_F)**: 0.605 states/eV per atom

abc: 2.954 4.558 6.751
angles: 90.00 90.00 90.00
Fractional coordinates of all 4 atoms:
Ca  0.000  0.000  0.223
Ca  0.000  0.000  0.777
Mg  0.500  0.500  0.500
Re  0.500  0.500  0.000

---

No. 2
DFT (meta-GGA SCAN) results for a crystal of CaMg3Re relaxed with PBEsol.

Values from the calculation:
**D(E_F)**: 0.724 states/eV per atom

abc: 5.069 5.069 5.069
angles: 90.00 90.00 90.00
Fractional coordinates of all 5 atoms:
Ca  0.000  0.000  0.000
Mg  0.000  0.500  0.500
Mg  0.500  0.000  0.500
Mg  0.500  0.500  0.000
Re  0.500  0.500  0.500

---

No. 3
DFT (meta-GGA SCAN) results for a crystal of CaMgRe relaxed with PBEsol.

Values from the calculation:
**D(E_F)**: 1.342 states/eV per atom

abc: 4.648 4.648 4.648
angles: 60.00 60.00 60.00
Fractional coordinates of all 3 atoms:
Ca  0.000  0.000  0.000
Mg  0.250  0.250  0.250
Re  0.500  0.500  0.500

---

No. 4
DFT (meta-GGA SCAN) results for a crystal of Ca2MgRe relaxed with PBEsol.

Values from the calculation:
**D(E_F)**: 0.593 states/eV per atom

abc: 6.587 6.587 6.587
angles: 153.21 131.07 56.66
Fractional coordinates of all 4 atoms:
Ca  0.000  0.000  0.000
Ca  0.693  0.193  0.500
Mg  0.283  0.783  0.500
Re  0.475  0.475  0.000

---

No. 5
DFT (meta-GGA SCAN) results for a crystal of SrCaMgRe2 relaxed with PBEsol.

Values from the calculation:
**D(E_F)**: 0.905 states/eV per atom

abc: 4.892 4.892 5.081
angles: 90.00 90.00 90.00
Fractional coordinates of all 5 atoms:
Sr  0.000  0.000  0.000
Ca  0.000  0.000  0.500
Mg  0.500  0.500  0.500
Re  0.000  0.500  0.000
Re  0.500  0.000  0.000

---

No. 6
DFT (meta-GGA SCAN) results for a crystal of CaMgZrRe2 relaxed with PBEsol.

Values from the calculation:
**D(E_F)**: 0.912 states/eV per atom

abc: 4.688 4.688 4.861
angles: 90.00 90.00 90.00
Fractional coordinates of all 5 atoms:
Ca  0.000  0.000  0.000
Mg  0.500  0.500  0.500
Zr  0.500  0.500  0.000
Re  0.000  0.500  0.500
Re  0.500  0.000  0.500

---

Number 1: energy of formation 632 meV per atom, DFT total energy -92.87 eV/cell, magnetic moment 0.0 μB per formula unit. Number 2: energy of formation 562 meV per atom, DFT total energy -92.87 eV/cell, magnetic moment 0.0 μB per formula unit. Number 3: energy of formation 1411 meV per atom, DFT total energy -81.50 eV/cell, magnetic moment 1.9 μB per formula unit. Number 4: energy of formation 578 meV per atom, DFT total energy -93.09 eV/cell, magnetic moment 0.0 μB per formula unit. Number 5: energy of formation 2573 meV per atom, DFT total energy -166.24 eV/cell, magnetic moment 1.4 μB per formula unit. Number 6: energy of formation 1737 meV per atom, DFT total energy -178.85 eV/cell, magnetic moment 2.2 μB per formula unit.